Entry 1:
Here is an optimized crystal structure of ScTaTlNi from the Open Quantum Materials Database. Energies are from GGA-PBE.

Results
E (eV for the cell shown): -24.7
Space-group type: F-43m, No. 216
Energy relative to the lowest polymorph listed for this composition (meV per atom): 0

```
data_ScTaTlNi
_symmetry_space_group_name_H-M 'P 1'
_symmetry_Int_Tables_number 1
_symmetry_space_group_name_Hall 'P 1'
_cell_length_a 4.697
_cell_length_b 4.697
_cell_length_c 4.697
_cell_angle_alpha 60.00
_cell_angle_beta 60.00
_cell_angle_gamma 60.00
loop_
_atom_site_label
_atom_site_fract_x
_atom_site_fract_y
_atom_site_fract_z
_atom_site_occupancy
Ni1 0.750 0.750 0.750 1
Sc1 0.250 0.250 0.250 1
Ta1 0.500 0.500 0.500 1
Tl1 0.000 0.000 0.000 1
```

***

Entry 2:
Here is an optimized crystal structure of TbSc2Ni9 from the Open Quantum Materials Database. Energies are from GGA-PBE.

Results
E (eV for the cell shown): -72.8
E_form (eV/atom): -0.45
Space-group type: R-3m, No. 166

```
data_TbSc2Ni9
_symmetry_space_group_name_H-M 'P 1'
_symmetry_Int_Tables_number 1
_symmetry_space_group_name_Hall 'P 1'
_cell_length_a 8.395
_cell_length_b 8.395
_cell_length_c 8.395
_cell_angle_alpha 33.67
_cell_angle_beta 33.67
_cell_angle_gamma 33.67
loop_
_atom_site_label
_atom_site_fract_x
_atom_site_fract_y
_atom_site_fract_z
_atom_site_occupancy
Ni1 0.586 0.586 0.082 1
Ni2 0.333 0.333 0.333 1
Ni3 0.918 0.414 0.414 1
Ni4 0.414 0.918 0.414 1
Ni5 0.500 0.500 0.500 1
Ni6 0.586 0.082 0.586 1
Ni7 0.082 0.586 0.586 1
Ni8 0.667 0.667 0.667 1
Ni9 0.414 0.414 0.918 1
Sc1 0.141 0.141 0.141 1
Sc2 0.859 0.859 0.859 1
Tb1 0.000 0.000 0.000 1
```

***

Entry 3:
Here is an optimized crystal structure of TbScTlNi2 from the Open Quantum Materials Database. Energies are from GGA-PBE.

Results
E (eV for the cell shown): -26.7
Space-group type: Amm2, No. 38

```
data_TbScTlNi2
_symmetry_space_group_name_H-M 'P 1'
_symmetry_Int_Tables_number 1
_symmetry_space_group_name_Hall 'P 1'
_cell_length_a 3.571
_cell_length_b 7.375
_cell_length_c 7.375
_cell_angle_alpha 30.14
_cell_angle_beta 90.00
_cell_angle_gamma 90.00
loop_
_atom_site_label
_atom_site_fract_x
_atom_site_fract_y
_atom_site_fract_z
_atom_site_occupancy
Ni1 0.500 0.203 0.203 1
Ni2 0.500 0.805 0.805 1
Sc1 0.000 0.359 0.359 1
Tb1 0.000 0.639 0.639 1
Tl1 0.500 0.995 0.995 1
```

***

Entry 4:
Here is an optimized crystal structure of Sc2TcNi from the Open Quantum Materials Database. Energies are from GGA-PBE.

Results
E (eV for the cell shown): -119.5
E_form (eV/atom): -0.32
Space-group type: Pnma, No. 62
Energy relative to the lowest polymorph listed for this composition (meV per atom): 17

```
data_Sc2TcNi
_symmetry_space_group_name_H-M 'P 1'
_symmetry_Int_Tables_number 1
_symmetry_space_group_name_Hall 'P 1'
_cell_length_a 6.385
_cell_length_b 6.428
_cell_length_c 6.400
_cell_angle_alpha 90.00
_cell_angle_beta 90.00
_cell_angle_gamma 90.00
loop_
_atom_site_label
_atom_site_fract_x
_atom_site_fract_y
_atom_site_fract_z
_atom_site_occupancy
Ni1 0.499 0.750 0.001 1
Ni2 0.999 0.250 0.499 1
Ni3 0.001 0.750 0.501 1
Ni4 0.501 0.250 0.999 1
Sc1 0.250 0.001 0.250 1
Sc2 0.250 0.499 0.250 1
Sc3 0.750 0.501 0.250 1
Sc4 0.750 0.999 0.250 1
Sc5 0.250 0.001 0.750 1
Sc6 0.250 0.499 0.750 1
Sc7 0.750 0.501 0.750 1
Sc8 0.750 0.999 0.750 1
Tc1 0.001 0.750 0.000 1
Tc2 0.501 0.250 0.500 1
Tc3 0.499 0.750 0.500 1
Tc4 0.999 0.250 0.000 1
```

***

Entry 5:
Here is an optimized crystal structure of Sc2TcNi from the Open Quantum Materials Database. Energies are from GGA-PBE.

Results
E (eV for the cell shown): -119.6
E_form (eV/atom): -0.33
Space-group type: I4/mmm, No. 139
Energy relative to the lowest polymorph listed for this composition (meV per atom): 10

```
data_Sc2TcNi
_symmetry_space_group_name_H-M 'P 1'
_symmetry_Int_Tables_number 1
_symmetry_space_group_name_Hall 'P 1'
_cell_length_a 6.381
_cell_length_b 4.520
_cell_length_c 9.038
_cell_angle_alpha 90.00
_cell_angle_beta 90.00
_cell_angle_gamma 90.00
loop_
_atom_site_label
_atom_site_fract_x
_atom_site_fract_y
_atom_site_fract_z
_atom_site_occupancy
Ni1 0.250 0.250 0.125 1
Ni2 0.750 0.750 0.375 1
Ni3 0.250 0.250 0.625 1
Ni4 0.750 0.750 0.875 1
Sc1 0.000 0.750 0.125 1
Sc2 0.500 0.750 0.125 1
Sc3 0.000 0.250 0.375 1
Sc4 0.500 0.250 0.375 1
Sc5 0.500 0.750 0.625 1
Sc6 0.000 0.750 0.625 1
Sc7 0.500 0.250 0.875 1
Sc8 0.000 0.250 0.875 1
Tc1 0.750 0.250 0.125 1
Tc2 0.250 0.750 0.375 1
Tc3 0.750 0.250 0.625 1
Tc4 0.250 0.750 0.875 1
```

***

Entry 6:
Here is an optimized crystal structure of Sc2TcNi from the Open Quantum Materials Database. Energies are from GGA-PBE.

Results
E (eV for the cell shown): -29.9
E_form (eV/atom): -0.34
Space-group type: P4/mmm, No. 123
Energy relative to the lowest polymorph listed for this composition (meV per atom): 0

```
data_Sc2TcNi
_symmetry_space_group_name_H-M 'P 1'
_symmetry_Int_Tables_number 1
_symmetry_space_group_name_Hall 'P 1'
_cell_length_a 3.233
_cell_length_b 3.233
_cell_length_c 6.328
_cell_angle_alpha 90.00
_cell_angle_beta 90.00
_cell_angle_gamma 90.00
loop_
_atom_site_label
_atom_site_fract_x
_atom_site_fract_y
_atom_site_fract_z
_atom_site_occupancy
Ni1 0.000 0.000 0.000 1
Sc1 0.500 0.500 0.249 1
Sc2 0.500 0.500 0.751 1
Tc1 0.000 0.000 0.500 1
```

***

Entry 7:
Here is an optimized crystal structure of Sc2TcNi from the Open Quantum Materials Database. Energies are from GGA-PBE.

Results
E (eV for the cell shown): -179.4
E_form (eV/atom): -0.33
Space-group type: Fm-3m, No. 225
Energy relative to the lowest polymorph listed for this composition (meV per atom): 10

```
data_Sc2TcNi
_symmetry_space_group_name_H-M 'P 1'
_symmetry_Int_Tables_number 1
_symmetry_space_group_name_Hall 'P 1'
_cell_length_a 4.523
_cell_length_b 6.397
_cell_length_c 13.571
_cell_angle_alpha 90.00
_cell_angle_beta 90.00
_cell_angle_gamma 90.00
loop_
_atom_site_label
_atom_site_fract_x
_atom_site_fract_y
_atom_site_fract_z
_atom_site_occupancy
Ni1 0.000 0.500 0.000 1
Ni2 0.500 0.000 0.167 1
Ni3 0.000 0.500 0.333 1
Ni4 0.500 0.000 0.500 1
Ni5 0.000 0.500 0.667 1
Ni6 0.500 0.000 0.833 1
Sc1 0.500 0.250 0.000 1
Sc2 0.500 0.750 0.000 1
Sc3 0.000 0.250 0.167 1
Sc4 0.000 0.750 0.167 1
Sc5 0.500 0.250 0.333 1
Sc6 0.500 0.750 0.333 1
Sc7 0.000 0.250 0.500 1
Sc8 0.000 0.750 0.500 1
Sc9 0.500 0.250 0.667 1
Sc10 0.500 0.750 0.667 1
Sc11 0.000 0.250 0.833 1
Sc12 0.000 0.750 0.833 1
Tc1 0.000 0.000 0.000 1
Tc2 0.500 0.500 0.167 1
Tc3 0.000 0.000 0.333 1
Tc4 0.500 0.500 0.500 1
Tc5 0.000 0.000 0.667 1
Tc6 0.500 0.500 0.833 1
```

***

Entry 8:
Here is an optimized crystal structure of ScTlTcNi from the Open Quantum Materials Database. Energies are from GGA-PBE.

Results
E (eV for the cell shown): -23.4
Space-group type: F-43m, No. 216
Energy relative to the lowest polymorph listed for this composition (meV per atom): 187

```
data_ScTlTcNi
_symmetry_space_group_name_H-M 'P 1'
_symmetry_Int_Tables_number 1
_symmetry_space_group_name_Hall 'P 1'
_cell_length_a 4.594
_cell_length_b 4.594
_cell_length_c 4.594
_cell_angle_alpha 60.00
_cell_angle_beta 60.00
_cell_angle_gamma 60.00
loop_
_atom_site_label
_atom_site_fract_x
_atom_site_fract_y
_atom_site_fract_z
_atom_site_occupancy
Ni1 0.750 0.750 0.750 1
Sc1 0.250 0.250 0.250 1
Tc1 0.500 0.500 0.500 1
Tl1 0.000 0.000 0.000 1
```

***

Entry 9:
Here is an optimized crystal structure of ScTlTcNi from the Open Quantum Materials Database. Energies are from GGA-PBE.

Results
E (eV for the cell shown): -24.1
Space-group type: F-43m, No. 216
Energy relative to the lowest polymorph listed for this composition (meV per atom): 0

```
data_ScTlTcNi
_symmetry_space_group_name_H-M 'P 1'
_symmetry_Int_Tables_number 1
_symmetry_space_group_name_Hall 'P 1'
_cell_length_a 4.574
_cell_length_b 4.574
_cell_length_c 4.574
_cell_angle_alpha 60.00
_cell_angle_beta 60.00
_cell_angle_gamma 60.00
loop_
_atom_site_label
_atom_site_fract_x
_atom_site_fract_y
_atom_site_fract_z
_atom_site_occupancy
Ni1 0.750 0.750 0.750 1
Sc1 0.500 0.500 0.500 1
Tc1 0.250 0.250 0.250 1
Tl1 0.000 0.000 0.000 1
```

***

Entry 10:
Here is an optimized crystal structure of ScZnTcNi from the Open Quantum Materials Database. Energies are from GGA-PBE.

Results
E (eV for the cell shown): -23.7
E_form (eV/atom): -0.05
Space-group type: F-43m, No. 216
Energy relative to the lowest polymorph listed for this composition (meV per atom): 0

```
data_ScZnTcNi
_symmetry_space_group_name_H-M 'P 1'
_symmetry_Int_Tables_number 1
_symmetry_space_group_name_Hall 'P 1'
_cell_length_a 4.365
_cell_length_b 4.365
_cell_length_c 4.365
_cell_angle_alpha 60.00
_cell_angle_beta 60.00
_cell_angle_gamma 60.00
loop_
_atom_site_label
_atom_site_fract_x
_atom_site_fract_y
_atom_site_fract_z
_atom_site_occupancy
Ni1 0.750 0.750 0.750 1
Sc1 0.500 0.500 0.500 1
Tc1 0.250 0.250 0.250 1
Zn1 0.000 0.000 0.000 1
```

***

Entry 11:
Here is an optimized crystal structure of ScNiTe2 from the Open Quantum Materials Database. Energies are from GGA-PBE.

Results
E (eV for the cell shown): -21.0
Space-group type: P-3m1, No. 164
Energy relative to the lowest polymorph listed for this composition (meV per atom): 0

```
data_ScNiTe2
_symmetry_space_group_name_H-M 'P 1'
_symmetry_Int_Tables_number 1
_symmetry_space_group_name_Hall 'P 1'
_cell_length_a 4.013
_cell_length_b 4.013
_cell_length_c 6.319
_cell_angle_alpha 90.00
_cell_angle_beta 90.00
_cell_angle_gamma 120.00
loop_
_atom_site_label
_atom_site_fract_x
_atom_site_fract_y
_atom_site_fract_z
_atom_site_occupancy
Ni1 0.000 0.000 0.000 1
Sc1 0.000 0.000 0.500 1
Te1 0.333 0.667 0.220 1
Te2 0.667 0.333 0.780 1
```

***

Entry 12:
Here is an optimized crystal structure of ScNiTe2 from the Open Quantum Materials Database. Energies are from GGA-PBE.

Results
E (eV for the cell shown): -18.1
Space-group type: F-43m, No. 216
Energy relative to the lowest polymorph listed for this composition (meV per atom): 735

```
data_ScNiTe2
_symmetry_space_group_name_H-M 'P 1'
_symmetry_Int_Tables_number 1
_symmetry_space_group_name_Hall 'P 1'
_cell_length_a 4.983
_cell_length_b 4.983
_cell_length_c 4.983
_cell_angle_alpha 60.00
_cell_angle_beta 60.00
_cell_angle_gamma 60.00
loop_
_atom_site_label
_atom_site_fract_x
_atom_site_fract_y
_atom_site_fract_z
_atom_site_occupancy
Ni1 0.250 0.250 0.250 1
Sc1 0.500 0.500 0.500 1
Te1 0.000 0.000 0.000 1
Te2 0.750 0.750 0.750 1
```

***

Question: Which value of E does entry 11 give?
Answer: -21.0 eV for the cell shown

***

Please write out number 10 again, unchanged.
Here is an optimized crystal structure of ScZnTcNi from the Open Quantum Materials Database. Energies are from GGA-PBE.

Results
E (eV for the cell shown): -23.7
E_form (eV/atom): -0.05
Space-group type: F-43m, No. 216
Energy relative to the lowest polymorph listed for this composition (meV per atom): 0

```
data_ScZnTcNi
_symmetry_space_group_name_H-M 'P 1'
_symmetry_Int_Tables_number 1
_symmetry_space_group_name_Hall 'P 1'
_cell_length_a 4.365
_cell_length_b 4.365
_cell_length_c 4.365
_cell_angle_alpha 60.00
_cell_angle_beta 60.00
_cell_angle_gamma 60.00
loop_
_atom_site_label
_atom_site_fract_x
_atom_site_fract_y
_atom_site_fract_z
_atom_site_occupancy
Ni1 0.750 0.750 0.750 1
Sc1 0.500 0.500 0.500 1
Tc1 0.250 0.250 0.250 1
Zn1 0.000 0.000 0.000 1
```

***

Question: The lowest E belongs to which entry?
Answer: number 7